## Pu2ScHg8 (PBE)

Data for crystalline Pu2ScHg8 at its relaxed geometry.

a = 5.1976 Å, b = 7.3039 Å, c = 8.4966 Å
α = 115.45°, β = 107.81°, γ = 90.00°
Site moments in Bohr magnetons follow the coordinates.
Element x y z (fractional)
Hg 0.8414 0.8414 0.6827  0.00
Hg 0.6346 0.4256 0.2693  0.01
Pu 0.8005 0.3005 0.6009  5.46
Hg 0.0000 0.7157 0.0000  0.00
Hg 0.1586 0.1586 0.3173  0.00
Hg 0.3654 0.5744 0.7307  0.01
Pu 0.1995 0.6995 0.3991  5.46
Hg 0.6347 0.8438 0.2694  0.01
Hg 0.0000 0.2843 0.0000  0.00
Hg 0.3653 0.1562 0.7306  0.01
Sc 0.5000 0.0000 0.0000  -0.07

## Properties
ρ ... 12.95 g cm⁻³
Formation energy ... -0.11 eV per atom
Magnetic moment ... 11.39 Bohr magnetons per cell